First-principles (PBE+U) data for crystalline MnTl2BrO at its relaxed geometry, as listed in Alexandria via LeMat-Bulk.

The space group is P4/mmm (No. 123) and the conventional cell measures 5.993, 5.993 and 3.740 Å, with angles of 90.00, 90.00 and 90.00 degrees. Symmetry generates all atoms from Mn at (0.000, 0.000, 0.000), Tl at (0.000, 0.500, 0.000), Br at (0.500, 0.500, 0.500) and O at (0.000, 0.000, 0.500).

Its crystal system is tetragonal. The total energy is -4.354 eV per atom.